# 1
A plane-wave DFT calculation with PBE-GGA was carried out for a geometry-optimized GaNi3H structure.

## Properties
* space group: No. 11
* energy above the most stable polymorph in this dataset: 0.48 eV per formula unit

Cell lengths 4.198, 5.075, 4.556 Å; angles 90.00, 92.90, 90.00 degrees
Positions (direct):
1 Ni 0.755 0.997 0.163
2 Ni 0.245 0.003 0.837
3 Ni 0.755 0.503 0.163
4 Ni 0.245 0.497 0.837
5 Ni 0.744 0.250 0.658
6 Ni 0.256 0.750 0.342
7 Ga 0.235 0.250 0.348
8 Ga 0.765 0.750 0.652
9 H 0.550 0.250 0.962
10 H 0.450 0.750 0.038



# 2
A plane-wave DFT calculation with PBE-GGA was carried out for a geometry-optimized GaNi3H structure.

## Properties
* space group: No. 221
* energy above the most stable polymorph in this dataset: 0.00 eV per formula unit

Cell lengths 3.631, 3.631, 3.631 Å; angles 90.00, 90.00, 90.00 degrees
Positions (direct):
1 Ni 0.000 0.500 0.000
2 Ni 0.000 0.000 0.500
3 Ni 0.500 0.000 0.000
4 Ga 0.500 0.500 0.500
5 H 0.000 0.000 0.000



# 3
A plane-wave DFT calculation with PBE-GGA was carried out for a geometry-optimized Ga3Ni9H2 structure.

## Properties
* space group: No. 194
* total DFT energy (no corrections): -5.1445 eV/atom

Cell lengths 5.110, 5.110, 12.534 Å; angles 90.00, 90.00, 120.00 degrees
Positions (direct):
1 Ga 0.000 0.000 0.750
2 Ga 0.000 0.000 0.250
3 Ga 0.667 0.333 0.917
4 Ga 0.333 0.667 0.083
5 Ga 0.333 0.667 0.417
6 Ga 0.667 0.333 0.583
7 Ni 0.501 0.002 0.750
8 Ni 0.998 0.499 0.750
9 Ni 0.501 0.499 0.750
10 Ni 0.499 0.998 0.250
11 Ni 0.002 0.501 0.250
12 Ni 0.499 0.501 0.250
13 Ni 0.164 0.328 0.918
14 Ni 0.672 0.836 0.918
15 Ni 0.164 0.836 0.918
16 Ni 0.836 0.672 0.082
17 Ni 0.328 0.164 0.082
18 Ni 0.836 0.164 0.082
19 Ni 0.836 0.672 0.418
20 Ni 0.328 0.164 0.418
21 Ni 0.836 0.164 0.418
22 Ni 0.164 0.328 0.582
23 Ni 0.672 0.836 0.582
24 Ni 0.164 0.836 0.582
25 H 0.667 0.333 0.157
26 H 0.333 0.667 0.843
27 H 0.333 0.667 0.657
28 H 0.667 0.333 0.343



# 4
A plane-wave DFT calculation with PBE-GGA was carried out for a geometry-optimized GaNi3H structure.

## Properties
* space group: No. 10
* energy above the most stable polymorph in this dataset: 0.30 eV per formula unit

Cell lengths 3.596, 5.814, 5.147 Å; angles 116.55, 90.00, 90.00 degrees
Positions (direct):
1 H 0.973 0.705 0.842
2 H 0.973 0.207 0.093
3 Ga 0.473 0.694 0.337
4 Ga 0.473 0.218 0.598
5 Ni 0.973 0.957 0.221
6 Ni 0.473 0.208 0.092
7 Ni 0.973 0.456 0.967
8 Ni 0.473 0.705 0.842
9 Ni 0.973 0.456 0.467
10 Ni 0.973 0.956 0.713



# 5
A plane-wave DFT calculation with PBE-GGA was carried out for a geometry-optimized GaNi3H structure.

## Properties
* space group: No. 119
* energy above the most stable polymorph in this dataset: 1.63 eV per formula unit

Cell lengths 4.765, 4.765, 5.716 Å; angles 65.37, 65.37, 90.00 degrees
Positions (direct):
1 Ni 0.623 0.871 0.257
2 Ni 0.129 0.377 0.743
3 Ni 0.129 0.880 0.743
4 Ni 0.120 0.871 0.257
5 Ni 0.368 0.368 0.264
6 Ni 0.632 0.632 0.736
7 Ga 0.603 0.103 0.794
8 Ga 0.897 0.397 0.206
9 H 0.000 0.000 0.000
10 H 0.250 0.750 0.500



# 6
A plane-wave DFT calculation with PBE-GGA was carried out for a geometry-optimized Ga2NiH2 structure.

## Properties
* space group: No. 139
* energy above the most stable polymorph in this dataset: 0.26 eV per formula unit

Cell lengths 2.806, 2.806, 6.560 Å; angles 77.65, 77.65, 90.00 degrees
Positions (direct):
1 Ni 0.000 0.000 0.000
2 Ga 0.372 0.372 0.255
3 Ga 0.628 0.628 0.745
4 H 0.750 0.250 0.500
5 H 0.250 0.750 0.500



# 7
A plane-wave DFT calculation with PBE-GGA was carried out for a geometry-optimized GaNi3H structure.

## Properties
* space group: No. 15
* energy above the most stable polymorph in this dataset: 0.69 eV per formula unit

Cell lengths 9.485, 6.629, 6.629 Å; angles 79.56, 124.24, 55.76 degrees
Positions (direct):
1 Ni 0.418 0.390 0.480
2 Ni 0.082 0.980 0.890
3 Ni 0.582 0.610 0.520
4 Ni 0.918 0.020 0.110
5 Ni 0.090 0.223 0.157
6 Ni 0.410 0.657 0.723
7 Ni 0.910 0.777 0.843
8 Ni 0.590 0.343 0.277
9 Ni 0.578 0.866 0.775
10 Ni 0.922 0.275 0.366
11 Ni 0.422 0.134 0.225
12 Ni 0.078 0.725 0.634
13 Ga 0.074 0.494 0.358
14 Ga 0.426 0.858 0.994
15 Ga 0.926 0.506 0.642
16 Ga 0.574 0.142 0.006
17 H 0.750 0.189 0.689
18 H 0.250 0.811 0.311
19 H 0.750 0.443 0.943
20 H 0.250 0.557 0.057



# 8
A plane-wave DFT calculation with PBE-GGA was carried out for a geometry-optimized GaNiH structure.

## Properties
* space group: No. 61
* energy above the most stable polymorph in this dataset: 0.00 eV per formula unit

Cell lengths 4.992, 5.257, 9.000 Å; angles 90.00, 90.00, 90.00 degrees
Positions (direct):
1 Ni 0.734 0.099 0.812
2 Ni 0.266 0.901 0.188
3 Ni 0.766 0.599 0.188
4 Ni 0.266 0.401 0.312
5 Ni 0.234 0.401 0.812
6 Ni 0.734 0.599 0.688
7 Ni 0.234 0.901 0.688
8 Ni 0.766 0.099 0.312
9 Ga 0.003 0.260 0.549
10 Ga 0.997 0.740 0.451
11 Ga 0.497 0.760 0.451
12 Ga 0.997 0.240 0.049
13 Ga 0.503 0.240 0.549
14 Ga 0.003 0.760 0.951
15 Ga 0.503 0.740 0.951
16 Ga 0.497 0.260 0.049
17 H 0.890 0.392 0.805
18 H 0.110 0.608 0.195
19 H 0.610 0.892 0.195
20 H 0.110 0.108 0.305
21 H 0.390 0.108 0.805
22 H 0.890 0.892 0.695
23 H 0.390 0.608 0.695
24 H 0.610 0.392 0.305



# 9
A plane-wave DFT calculation with PBE-GGA was carried out for a geometry-optimized GaNiH3 structure.

## Properties
* space group: No. 221
* energy above the most stable polymorph in this dataset: 0.00 eV per formula unit

Cell lengths 3.429, 3.429, 3.429 Å; angles 90.00, 90.00, 90.00 degrees
Positions (direct):
1 Ni 0.000 0.000 0.000
2 Ga 0.500 0.500 0.500
3 H 0.000 0.500 0.000
4 H 0.000 0.000 0.500
5 H 0.500 0.000 0.000



# 10
A plane-wave DFT calculation with PBE-GGA was carried out for a geometry-optimized Ga2Ni2H structure.

## Properties
* space group: No. 127
* total DFT energy (no corrections): -4.2890 eV/atom

Cell lengths 5.321, 5.321, 3.993 Å; angles 90.00, 90.00, 90.00 degrees
Positions (direct):
1 Ni 0.334 0.834 0.000
2 Ni 0.834 0.666 0.000
3 Ni 0.666 0.166 0.000
4 Ni 0.166 0.334 0.000
5 Ga 0.164 0.664 0.500
6 Ga 0.664 0.836 0.500
7 Ga 0.836 0.336 0.500
8 Ga 0.336 0.164 0.500
9 H 0.000 0.000 0.000
10 H 0.500 0.500 0.000



# 11
A plane-wave DFT calculation with PBE-GGA was carried out for a geometry-optimized GaNi3H structure.

## Properties
* space group: No. 8
* energy above the most stable polymorph in this dataset: 0.45 eV per formula unit

Cell lengths 4.973, 5.132, 4.973 Å; angles 105.47, 118.58, 103.81 degrees
Positions (direct):
1 H 0.170 0.766 0.563
2 H 0.882 0.705 0.789
3 Ga 0.383 0.442 0.025
4 Ga 0.933 0.095 0.129
5 Ni 0.362 0.936 0.039
6 Ni 0.445 0.093 0.614
7 Ni 0.863 0.936 0.540
8 Ni 0.864 0.421 0.523
9 Ni 0.447 0.588 0.601
10 Ni 0.953 0.588 0.107



# 12
A plane-wave DFT calculation with PBE-GGA was carried out for a geometry-optimized GaNiHOs2 structure.

## Properties
* space group: No. 123
* total DFT energy (no corrections): -6.6912 eV/atom

Cell lengths 4.146, 3.262, 4.146 Å; angles 90.00, 90.00, 90.00 degrees
Positions (direct):
1 Ni 0.000 0.500 0.000
2 Os 0.000 0.000 0.500
3 Os 0.500 0.000 0.000
4 Ga 0.500 0.500 0.500
5 H 0.000 0.000 0.000



Taking the records one at a time from the top gives theoretical density values of 8.5; 8.6; 8.7; 8.5; 7.8; 6.8; 8.4; 7.3; 5.4; 7.6; 8.5; 15.1 g/cm³.